4
Lattice="6.4201 -1.9785 0.0000 6.4201 1.9785 0.0000 -2.4664 0.0000 5.3463" Properties=species:S:1:pos:R:3 comment="K2SiTe PBE optimized geometry" relative_energy_mev_per_atom=42 energy_ev_per_cell=-11.6 space_group=Cm formation_energy_uncorrected_ev_per_atom=-0.2157 n_ef_per_ev_cell=1.7 pbc="T T T"
K 0.0000 0.0000 0.0000
K 1.0574 0.0000 3.4735
Si 4.4921 0.0000 2.4550
Te 9.5504 0.0000 1.2111